Computed, not measured: LiPaTi2N4 after structural relaxation at the PBE level of DFT.

Calculated values
Symmetry: P2/m, No. 10
Formation energy without anion corrections: -1.451 eV/atom
N(E_F): 0.337 states/eV per atom

Structure (CIF):
```
data_LiPaTi2N4
_symmetry_space_group_name_H-M 'P 1'
_symmetry_Int_Tables_number 1
_symmetry_space_group_name_Hall 'P 1'
_cell_length_a 3.146
_cell_length_b 5.615
_cell_length_c 5.261
_cell_angle_alpha 73.21
_cell_angle_beta 90.00
_cell_angle_gamma 90.00
loop_
_atom_site_label
_atom_site_fract_x
_atom_site_fract_y
_atom_site_fract_z
_atom_site_occupancy
N1 0.500 0.779 0.229 1
N2 0.000 0.777 0.735 1
N3 0.000 0.223 0.265 1
N4 0.500 0.221 0.771 1
Ti1 0.000 0.000 0.000 1
Ti2 0.500 0.000 0.500 1
Li1 0.000 0.500 0.500 1
Pa1 0.500 0.500 0.000 1
```



Computed, not measured: LiTmPa4N8 after structural relaxation at the PBE level of DFT.

Calculated values
Symmetry: R3m, No. 160
Formation energy without anion corrections: -1.470 eV/atom
N(E_F): 0.000 states/eV per atom

Structure (CIF):
```
data_LiTmPa4N8
_symmetry_space_group_name_H-M 'P 1'
_symmetry_Int_Tables_number 1
_symmetry_space_group_name_Hall 'P 1'
_cell_length_a 7.080
_cell_length_b 7.080
_cell_length_c 6.488
_cell_angle_alpha 56.93
_cell_angle_beta 56.93
_cell_angle_gamma 60.00
loop_
_atom_site_label
_atom_site_fract_x
_atom_site_fract_y
_atom_site_fract_z
_atom_site_occupancy
Pa1 0.996 0.498 0.511 1
Pa2 0.498 0.996 0.511 1
Pa3 0.996 0.996 0.511 1
Pa4 0.592 0.592 0.224 1
N1 0.762 0.219 0.256 1
N2 0.219 0.762 0.256 1
N3 0.762 0.762 0.256 1
N4 0.283 0.766 0.667 1
N5 0.231 0.231 0.306 1
N6 0.766 0.283 0.667 1
N7 0.283 0.283 0.667 1
N8 0.748 0.748 0.756 1
Tm1 0.376 0.376 0.872 1
Li1 0.987 0.987 0.039 1
```



Computed, not measured: LiTmPaN3 after structural relaxation at the PBE level of DFT.

Calculated values
Symmetry: P2_1/m, No. 11
Formation energy without anion corrections: -1.305 eV/atom

Structure (CIF):
```
data_LiTmPaN3
_symmetry_space_group_name_H-M 'P 1'
_symmetry_Int_Tables_number 1
_symmetry_space_group_name_Hall 'P 1'
_cell_length_a 3.307
_cell_length_b 7.219
_cell_length_c 6.752
_cell_angle_alpha 101.95
_cell_angle_beta 90.00
_cell_angle_gamma 90.00
loop_
_atom_site_label
_atom_site_fract_x
_atom_site_fract_y
_atom_site_fract_z
_atom_site_occupancy
Tm1 0.750 0.345 0.814 1
Tm2 0.250 0.655 0.186 1
N1 0.750 0.876 0.118 1
N2 0.750 0.189 0.464 1
N3 0.750 0.413 0.165 1
N4 0.250 0.124 0.882 1
N5 0.250 0.587 0.835 1
N6 0.250 0.811 0.536 1
Pa1 0.750 0.813 0.783 1
Pa2 0.250 0.187 0.217 1
Li1 0.750 0.916 0.409 1
Li2 0.250 0.084 0.591 1
```



Computed, not measured: Li2Tm2PaN4 after structural relaxation at the PBE level of DFT.

Calculated values
Symmetry: C2/m, No. 12
Formation energy without anion corrections: -1.085 eV/atom
N(E_F): 0.437 states/eV per atom

Structure (CIF):
```
data_Li2Tm2PaN4
_symmetry_space_group_name_H-M 'P 1'
_symmetry_Int_Tables_number 1
_symmetry_space_group_name_Hall 'P 1'
_cell_length_a 3.354
_cell_length_b 6.241
_cell_length_c 5.916
_cell_angle_alpha 109.31
_cell_angle_beta 90.00
_cell_angle_gamma 105.59
loop_
_atom_site_label
_atom_site_fract_x
_atom_site_fract_y
_atom_site_fract_z
_atom_site_occupancy
N1 0.214 0.429 0.239 1
N2 0.786 0.571 0.761 1
N3 0.472 0.944 0.247 1
N4 0.528 0.056 0.753 1
Tm1 0.858 0.715 0.436 1
Tm2 0.142 0.285 0.564 1
Pa1 0.000 0.000 0.000 1
Li1 0.310 0.621 0.003 1
Li2 0.690 0.379 0.997 1
```



Computed, not measured: LiTmPa2N4 after structural relaxation at the PBE level of DFT.

Calculated values
Symmetry: P2/m, No. 10
Formation energy without anion corrections: -1.410 eV/atom
N(E_F): 0.448 states/eV per atom

Structure (CIF):
```
data_LiTmPa2N4
_symmetry_space_group_name_H-M 'P 1'
_symmetry_Int_Tables_number 1
_symmetry_space_group_name_Hall 'P 1'
_cell_length_a 3.514
_cell_length_b 5.776
_cell_length_c 6.037
_cell_angle_alpha 70.49
_cell_angle_beta 90.00
_cell_angle_gamma 90.00
loop_
_atom_site_label
_atom_site_fract_x
_atom_site_fract_y
_atom_site_fract_z
_atom_site_occupancy
Tm1 0.500 0.500 0.000 1
N1 0.000 0.239 0.253 1
N2 0.000 0.761 0.747 1
N3 0.500 0.785 0.231 1
N4 0.500 0.215 0.769 1
Li1 0.000 0.500 0.500 1
Pa1 0.500 0.000 0.500 1
Pa2 0.000 0.000 0.000 1
```



Computed, not measured: LiTm2PaN4 after structural relaxation at the PBE level of DFT.

Calculated values
Symmetry: P2/m, No. 10
Formation energy without anion corrections: -1.481 eV/atom
N(E_F): 0.000 states/eV per atom

Structure (CIF):
```
data_LiTm2PaN4
_symmetry_space_group_name_H-M 'P 1'
_symmetry_Int_Tables_number 1
_symmetry_space_group_name_Hall 'P 1'
_cell_length_a 3.493
_cell_length_b 5.698
_cell_length_c 5.838
_cell_angle_alpha 106.03
_cell_angle_beta 90.00
_cell_angle_gamma 90.00
loop_
_atom_site_label
_atom_site_fract_x
_atom_site_fract_y
_atom_site_fract_z
_atom_site_occupancy
Li1 0.500 0.500 0.000 1
Tm1 0.000 0.500 0.500 1
Tm2 0.500 0.000 0.500 1
N1 0.000 0.211 0.741 1
N2 0.500 0.250 0.250 1
N3 0.500 0.750 0.750 1
N4 0.000 0.789 0.259 1
Pa1 0.000 0.000 0.000 1
```